BeTePt2 at its PBEsol-relaxed geometry. Source: Alexandria via LeMat-Bulk, functional meta-GGA SCAN.

Unit cell a=4.495 b=4.495 c=4.495 alpha=60.00 beta=60.00 gamma=60.00
Fractional coordinates of all 4 atoms:
Be 0.500 0.500 0.500
Te 0.750 0.750 0.750
Pt 0.000 0.000 0.000
Pt 0.250 0.250 0.250

ΔE_f (raw) = 0.28 eV per atom
DOS at the Fermi energy = 2.80 states/eV per cell
total magnetization = 0.00 μB per cell
relative energy among the computed polymorphs = 2.71 eV/f.u.